Below is an optimized crystal structure of EuTlCdHg, with properties calculated at the PBE-GGA level.

Unit cell a=5.352 b=5.352 c=5.352 alpha=60.00 beta=60.00 gamma=60.00
Atoms (fractional coordinates):
Eu (0.500, 0.500, 0.500)
Tl (0.000, 0.000, 0.000)
Hg (0.250, 0.250, 0.250)
Cd (0.750, 0.750, 0.750)

Values from the calculation:
energy relative to the elements	-0.301	eV/atom
total magnetization	7.02	Bohr magnetons per cell
space-group type	F-43m (216)
density of states at the Fermi level	1.69	states/eV/f.u.